DFT (PBE) results for a geometry-optimized Zr3Be6Co5 structure.

Calculated values
N(E_F)	0.71	states/eV/atom
energy relative to the elements	-278	meV per atom
volume	11.77	Å³ per atom
total moment	0.00	μB/cell

extended XYZ file:
```
28
Lattice="3.603 0.000 0.000 0.000 10.767 0.000 0.000 0.000 8.498" Properties=species:S:1:pos:R:3 pbc="T T T"
Zr 0.901 0.657 2.117
Zr 0.901 4.727 2.117
Zr 0.901 8.075 2.175
Zr 2.702 2.692 6.323
Zr 2.702 6.040 6.381
Zr 2.702 10.110 6.381
Be 0.901 0.956 7.410
Be 0.901 2.692 0.254
Be 0.901 2.692 3.905
Be 0.901 4.427 7.410
Be 0.901 6.821 4.542
Be 0.901 9.329 4.542
Be 2.702 1.438 3.956
Be 2.702 3.946 3.956
Be 2.702 6.340 1.089
Be 2.702 8.075 4.594
Be 2.702 8.075 8.244
Be 2.702 9.811 1.089
Co 0.901 0.762 5.044
Co 0.901 4.622 5.044
Co 0.901 6.515 8.367
Co 0.901 8.075 6.423
Co 0.901 9.636 8.367
Co 2.702 1.131 0.132
Co 2.702 2.692 2.075
Co 2.702 4.252 0.132
Co 2.702 6.146 3.454
Co 2.702 10.005 3.454
```



DFT (PBE) results for a geometry-optimized Nd5Er2Tm12 structure.

Calculated values
N(E_F)	1.35	states/eV/atom
offset from the most stable computed form	157	meV per atom
energy relative to the elements	182	meV per atom
volume	32.23	Å³ per atom
total moment	0.00	μB/cell

extended XYZ file:
```
19
Lattice="9.098 -3.495 0.000 9.098 3.495 0.000 -3.719 0.000 9.629" Properties=species:S:1:pos:R:3 pbc="T T T"
Nd 0.000 0.000 0.000
Nd 0.877 0.000 6.559
Nd 4.713 0.000 2.797
Nd 9.765 0.000 6.832
Nd 13.600 0.000 3.070
Er 7.239 1.599 4.814
Er 7.239 -1.599 4.814
Tm -2.328 0.000 7.189
Tm 3.879 1.769 6.084
Tm 2.497 1.729 9.425
Tm 10.598 1.769 3.545
Tm 11.981 1.729 0.204
Tm 5.997 0.000 7.939
Tm 8.480 0.000 1.690
Tm 2.497 -1.729 9.425
Tm 3.879 -1.769 6.084
Tm 11.981 -1.729 0.204
Tm 10.598 -1.769 3.545
Tm 16.805 0.000 2.440
```



DFT (PBE) results for a geometry-optimized NaBrO3 structure.

Calculated values
N(E_F)	0.76	states/eV/atom
E_form (uncorrected)	878.6	meV per atom
volume	15.93	Å³ per atom
total moment	6.00	μB/cell

extended XYZ file:
```
5
Lattice="4.302 0.000 0.000 0.000 4.302 0.000 0.000 0.000 4.302" Properties=species:S:1:pos:R:3 pbc="T T T"
Na 0.000 0.000 0.000
Br 2.151 2.151 2.151
O 0.000 0.000 2.151
O 0.000 2.151 0.000
O 2.151 0.000 0.000
```



DFT (PBE) results for a geometry-optimized RbCu2HSe structure.

Calculated values
final energy	-3.53	eV/atom
volume	24.26	Å³ per atom
total moment	0.00	μB/cell

extended XYZ file:
```
10
Lattice="7.109 0.000 0.000 0.000 4.224 0.000 -1.411 0.000 8.080" Properties=species:S:1:pos:R:3 pbc="T T T"
Rb 1.046 1.056 2.574
Rb 4.652 3.168 5.505
Cu 1.296 3.168 7.693
Cu 1.821 1.056 6.271
Cu 3.878 3.168 1.809
Cu 4.403 1.056 0.387
H 2.333 3.168 1.145
H 3.366 1.056 6.935
Se 0.982 3.168 5.383
Se 4.716 1.056 2.697
```



DFT (PBE) results for a geometry-optimized Dy2AlCu6 structure.

Calculated values
N(E_F)	0.56	states/eV/atom
energy relative to the elements	-245	meV per atom
volume	16.27	Å³ per atom
total moment	0.00	μB/cell

extended XYZ file:
```
9
Lattice="5.515 0.000 0.000 -2.757 4.776 0.000 0.000 0.000 5.560" Properties=species:S:1:pos:R:3 pbc="T T T"
Dy 0.000 3.184 0.857
Dy 2.757 1.592 4.703
Al 0.000 0.000 0.000
Cu 0.000 1.722 3.681
Cu -1.266 3.915 3.681
Cu 1.492 0.861 1.879
Cu 1.266 3.915 3.681
Cu 4.023 0.861 1.879
Cu 2.757 3.053 1.879
```



DFT (PBE) results for a geometry-optimized Cs3AuF2 structure.

Calculated values
N(E_F)	0.00	states/eV/atom
offset from the most stable computed form	0	meV per atom
E_form (uncorrected)	-1840.7	meV per atom
volume	34.84	Å³ per atom
total moment	0.00	μB/cell

extended XYZ file:
```
12
Lattice="4.226 0.000 0.000 0.000 12.756 0.000 0.000 0.000 7.757" Properties=species:S:1:pos:R:3 pbc="T T T"
Cs 0.000 1.177 0.000
Cs 0.000 4.008 4.994
Cs 0.000 8.748 1.116
Cs 0.000 11.579 3.879
Cs 2.113 5.180 1.018
Cs 2.113 7.576 4.896
Au 2.113 1.776 2.925
Au 2.113 10.980 6.803
F 0.000 6.285 3.022
F 0.000 6.470 6.900
F 2.113 3.053 6.815
F 2.113 9.702 2.937
```



DFT (PBE) results for a geometry-optimized TbNd3Te6 structure.

Calculated values
offset from the most stable computed form	0	meV per atom
E_form (uncorrected)	-1390.1	meV per atom
volume	35.20	Å³ per atom
total moment	0.00	μB/cell

extended XYZ file:
```
20
Lattice="7.462 0.000 0.000 0.000 8.314 0.000 -7.267 0.000 11.349" Properties=species:S:1:pos:R:3 pbc="T T T"
Tb 0.000 0.000 0.000
Tb -3.633 4.157 5.674
Nd -3.974 0.992 8.472
Nd -0.340 3.165 2.798
Nd 0.097 0.000 5.674
Nd 3.731 4.157 0.000
Nd 0.535 5.148 8.551
Nd 4.169 7.322 2.877
Te -2.473 1.485 4.779
Te -6.106 2.672 10.454
Te -1.144 5.601 4.750
Te -4.777 6.870 10.424
Te 1.281 0.446 2.781
Te -2.353 3.711 8.456
Te 2.547 4.603 2.893
Te -1.086 7.868 8.568
Te 4.972 1.444 0.925
Te 1.339 2.713 6.599
Te 6.301 5.642 0.895
Te 2.668 6.829 6.570
```



DFT (PBE) results for a geometry-optimized PuTaAs2 structure.

Calculated values
N(E_F)	2.43	states/eV/atom
offset from the most stable computed form	0	meV per atom
energy relative to the elements	-639	meV per atom
volume	21.18	Å³ per atom
total moment	5.12	μB/cell

extended XYZ file:
```
4
Lattice="1.867 1.078 7.014 -1.867 1.078 7.014 0.000 -2.156 7.014" Properties=species:S:1:pos:R:3 pbc="T T T"
Pu 0.000 0.000 0.000
Ta 0.000 0.000 17.393
As 0.000 0.000 8.871
As 0.000 0.000 11.981
```